No. 1
## Nb6Zn3C (GGA-PBE)

Data for Nb6Zn3C after structural relaxation.

Cell lengths 5.6651, 5.6651, 6.0709 Å; angles 99.47, 99.47, 60.31 degrees
Last column: nearest neighbours and their distance in Å.
Sites, in units of the cell vectors:
Nb  0.1209  0.6308  0.6433  1 C 2.14
Nb  0.1414  0.1414  0.8367  1 C 2.24
Nb  0.3692  0.8791  0.3567  1 C 2.14
Nb  0.6308  0.1209  0.6433  1 C 2.14
Nb  0.8586  0.8586  0.1633  1 C 2.24
Nb  0.8791  0.3692  0.3567  1 C 2.14
Zn  0.3446  0.3446  0.2499  1 Zn 2.34
Zn  0.5000  0.5000  0.0000  2 Zn 2.34
Zn  0.6554  0.6554  0.7501  1 Zn 2.34
C  0.0000  0.0000  0.5000  6 Nb 2.14-2.24

## Properties
- DFT formation energy (eV/atom) = 0.012
- ρ (Mg/m³) = 7.652
- SG = C2/m, No. 12
- total magnetization (μB per formula unit) = 0.00
- DOS(E_F) (states/eV/cell) = 6.54
- VASP energy (eV/f.u.) = -73.3

***

No. 2
## Nb8ZnC2 (GGA-PBE)

Data for Nb8ZnC2 after structural relaxation.

Cell lengths 6.5986, 6.5986, 4.5722 Å; angles 95.83, 95.83, 69.47 degrees
Last column: nearest neighbours and their distance in Å.
Sites, in units of the cell vectors:
Nb  0.0985  0.6577  0.7551  1 C 2.20
Nb  0.1257  0.1257  0.7546  1 C 2.15
Nb  0.3300  0.3300  0.3271  2 C 2.24-2.34
Nb  0.3423  0.9015  0.2449  1 C 2.20
Nb  0.6577  0.0985  0.7551  1 C 2.20
Nb  0.6700  0.6700  0.6729  2 C 2.24-2.34
Nb  0.8743  0.8743  0.2454  1 C 2.15
Nb  0.9015  0.3423  0.2449  1 C 2.20
Zn  0.5000  0.5000  0.0000  2 C 1.97
C  0.3256  0.3256  0.8150  1 Zn 1.97, 3 Nb 2.15-2.20
C  0.6744  0.6744  0.1850  1 Zn 1.97, 3 Nb 2.15-2.20

## Properties
- DFT formation energy (eV/atom) = 0.269
- ρ (Mg/m³) = 7.474
- SG = C2/m, No. 12
- total magnetization (μB per formula unit) = 0.00
- DOS(E_F) (states/eV/cell) = 8.37
- VASP energy (eV/f.u.) = -97.3

***

No. 3
## Nb5ZnC (GGA-PBE)

Data for Nb5ZnC after structural relaxation.

Cell lengths 5.4550, 5.4550, 7.8240 Å; angles 97.06, 97.06, 93.65 degrees
Last column: nearest neighbours and their distance in Å.
Sites, in units of the cell vectors:
Nb  0.1091  0.6417  0.3692  1 C 2.24
Nb  0.1148  0.8852  0.7500  2 C 2.16
Nb  0.1825  0.3586  0.9774  1 C 2.17
Nb  0.3583  0.8909  0.1308  1 C 2.24
Nb  0.3586  0.1825  0.4774  1 C 2.17
Nb  0.6414  0.8175  0.5226  1 C 2.17
Nb  0.6417  0.1091  0.8692  1 C 2.24
Nb  0.8175  0.6414  0.0226  1 C 2.17
Nb  0.8852  0.1148  0.2500  2 C 2.16
Nb  0.8909  0.3583  0.6308  1 C 2.24
Zn  0.4512  0.5488  0.7500  7 Nb 2.68-2.89
Zn  0.5488  0.4512  0.2500  7 Nb 2.68-2.89
C  0.0000  0.0000  0.0000  6 Nb 2.16-2.24
C  0.0000  0.0000  0.5000  6 Nb 2.16-2.24

## Properties
- DFT formation energy (eV/atom) = -0.112
- ρ (Mg/m³) = 7.874
- SG = C2/c, No. 15
- total magnetization (μB per formula unit) = 0.00
- DOS(E_F) (states/eV/cell) = 11.02
- VASP energy (eV/f.u.) = -61.6

***

No. 4
## Nb4ZnC (GGA-PBE)

Data for Nb4ZnC after structural relaxation.

Cell lengths 7.0544, 7.0544, 5.6295 Å; angles 105.06, 105.06, 45.67 degrees
Last column: nearest neighbours and their distance in Å.
Sites, in units of the cell vectors:
Nb  0.0102  0.7948  0.5139  1 C 2.11
Nb  0.2000  0.4126  0.8774  2 C 2.19-2.26
Nb  0.2052  0.9898  0.9861  1 C 2.11
Nb  0.4126  0.2000  0.3774  2 C 2.19-2.26
Nb  0.5874  0.8000  0.6226  2 C 2.19-2.26
Nb  0.7948  0.0102  0.0139  1 C 2.11
Nb  0.8000  0.5874  0.1226  2 C 2.19-2.26
Nb  0.9898  0.2052  0.4861  1 C 2.11
Zn  0.4338  0.5662  0.2500  8 Nb 2.80-2.96, 2 Zn 2.91
Zn  0.5662  0.4338  0.7500  8 Nb 2.80-2.96, 2 Zn 2.91
C  0.0000  0.5000  0.5000  6 Nb 2.11-2.26
C  0.5000  0.0000  0.0000  6 Nb 2.11-2.26

## Properties
- DFT formation energy (eV/atom) = -0.128
- ρ (Mg/m³) = 7.757
- SG = C2/c, No. 15
- total magnetization (μB per formula unit) = 0.00
- DOS(E_F) (states/eV/cell) = 7.66
- VASP energy (eV/f.u.) = -51.5

***

No. 5
## NbZnC (GGA-PBE)

Data for NbZnC after structural relaxation.

Cell lengths 7.7488, 7.7488, 7.7488 Å; angles 27.90, 27.90, 27.90 degrees
Last column: nearest neighbours and their distance in Å.
Sites, in units of the cell vectors:
Nb  0.1199  0.1199  0.1199  4 C 2.14-2.16
Nb  0.8801  0.8801  0.8801  4 C 2.14-2.16
Zn  0.3066  0.3066  0.3066  1 C 2.02
Zn  0.6934  0.6934  0.6934  1 C 2.02
C  0.2160  0.2160  0.2160  1 Zn 2.02, 4 Nb 2.14-2.16
C  0.7840  0.7840  0.7840  1 Zn 2.02, 4 Nb 2.14-2.16

## Properties
- DFT formation energy (eV/atom) = 0.106
- ρ (Mg/m³) = 6.288
- SG = R-3m, No. 166
- total magnetization (μB per formula unit) = 0.00
- DOS(E_F) (states/eV/cell) = 2.23
- VASP energy (eV/f.u.) = -20.2

***

No. 6
## Nb4Zn2C (GGA-PBE)

Data for Nb4Zn2C after structural relaxation.

Cell lengths 8.4512, 8.4512, 8.4512 Å; angles 60.00, 60.00, 60.00 degrees
Last column: nearest neighbours and their distance in Å.
Sites, in units of the cell vectors:
Nb  0.0000  0.0000  0.0000  6 Zn 2.63
Nb  0.0000  0.0000  0.5000  6 Zn 2.63
Nb  0.0000  0.5000  0.0000  6 Zn 2.63
Nb  0.1851  0.1851  0.5649  2 C 2.25
Nb  0.1851  0.5649  0.1851  2 C 2.25
Nb  0.1851  0.5649  0.5649  2 C 2.25
Nb  0.4351  0.4351  0.8149  2 C 2.25
Nb  0.4351  0.8149  0.4351  2 C 2.25
Nb  0.4351  0.8149  0.8149  2 C 2.25
Nb  0.5000  0.0000  0.0000  6 Zn 2.63
Nb  0.5649  0.1851  0.1851  2 C 2.25
Nb  0.5649  0.1851  0.5649  2 C 2.25
Nb  0.5649  0.5649  0.1851  2 C 2.25
Nb  0.8149  0.4351  0.4351  2 C 2.25
Nb  0.8149  0.4351  0.8149  2 C 2.25
Nb  0.8149  0.8149  0.4351  2 C 2.25
Zn  0.1430  0.7857  0.7857  6 Nb 2.63-2.74
Zn  0.2143  0.2143  0.2143  6 Nb 2.63-2.74
Zn  0.2143  0.2143  0.8570  6 Nb 2.63-2.74
Zn  0.2143  0.8570  0.2143  6 Nb 2.63-2.74
Zn  0.7857  0.1430  0.7857  6 Nb 2.63-2.74
Zn  0.7857  0.7857  0.1430  6 Nb 2.63-2.74
Zn  0.7857  0.7857  0.7857  6 Nb 2.63-2.74
Zn  0.8570  0.2143  0.2143  6 Nb 2.63-2.74
C  0.0000  0.5000  0.5000  6 Nb 2.25
C  0.5000  0.0000  0.5000  6 Nb 2.25
C  0.5000  0.5000  0.0000  6 Nb 2.25
C  0.5000  0.5000  0.5000  6 Nb 2.25

## Properties
- DFT formation energy (eV/atom) = -0.211
- ρ (Mg/m³) = 8.006
- SG = Fd-3m, No. 227
- total magnetization (μB per formula unit) = 0.00
- DOS(E_F) (states/eV/cell) = 21.83
- VASP energy (eV/f.u.) = -53.5

***

No. 7
## Nb3ZnC (GGA-PBE)

Data for Nb3ZnC after structural relaxation.

Cell lengths 5.6800, 5.6800, 8.5913 Å; angles 90.00, 90.00, 146.88 degrees
Last column: nearest neighbours and their distance in Å.
Sites, in units of the cell vectors:
Nb  0.0458  0.9542  0.7500  2 C 2.20
Nb  0.3699  0.6301  0.5446  2 C 2.18
Nb  0.3699  0.6301  0.9554  2 C 2.18
Nb  0.6301  0.3699  0.0446  2 C 2.18
Nb  0.6301  0.3699  0.4554  2 C 2.18
Nb  0.9542  0.0458  0.2500  2 C 2.20
Zn  0.2541  0.7459  0.2500  8 Nb 2.71-2.83
Zn  0.7459  0.2541  0.7500  8 Nb 2.71-2.83
C  0.0000  0.0000  0.0000  6 Nb 2.18-2.20
C  0.0000  0.0000  0.5000  6 Nb 2.18-2.20

## Properties
- excess energy over the best structure of this formula in the dataset (kJ per mole of atoms) = 0.00
- DFT formation energy (eV/atom) = -0.324
- ρ (Mg/m³) = 7.809
- SG = Cmcm, No. 63
- total magnetization (μB per formula unit) = 0.00
- DOS(E_F) (states/eV/cell) = 6.99
- VASP energy (eV/f.u.) = -42.3

***

No. 8
## Nb7Zn2C2 (GGA-PBE)

Data for Nb7Zn2C2 after structural relaxation.

Cell lengths 8.4003, 8.4003, 8.4003 Å; angles 159.45, 60.10, 124.20 degrees
Last column: nearest neighbours and their distance in Å.
Sites, in units of the cell vectors:
Nb  0.0000  0.0000  0.0000  3 Zn 2.73-2.83, 2 Nb 3.00
Nb  0.0533  0.3770  0.6762  3 C 2.48-2.50, 1 Nb 2.77
Nb  0.0708  0.7281  0.3428  2 C 2.21
Nb  0.3853  0.7281  0.6572  2 C 2.21
Nb  0.4170  0.5645  0.8525  2 C 2.20
Nb  0.7008  0.3770  0.3238  3 C 2.48-2.50, 1 Nb 2.77
Nb  0.7119  0.5645  0.1475  2 C 2.20
Zn  0.3471  0.3471  0.0000  7 Nb 2.73-2.89, 2 Zn 3.00
Zn  0.6944  0.1944  0.5000  8 Nb 2.81-2.94, 4 Zn 3.00-3.11
C  0.3392  0.0959  0.2433  4 Nb 2.20-2.21
C  0.8525  0.0959  0.7567  4 Nb 2.20-2.21

## Properties
- DFT formation energy (eV/atom) = -0.009
- ρ (Mg/m³) = 7.804
- SG = Imm2, No. 44
- total magnetization (μB per formula unit) = 0.00
- DOS(E_F) (states/eV/cell) = 8.72
- VASP energy (eV/f.u.) = -91.6